This record from the Alexandria database describes an optimized crystal structure of Be2AsBr. The functional is PBE-GGA.

abc: 4.604 4.604 2.968
angles: 90.00 90.00 90.00
Atoms (fractional coordinates):
1 Be 0.000 0.500 0.000
2 Be 0.500 0.000 0.000
3 As 0.000 0.000 0.500
4 Br 0.500 0.500 0.500

Values from the calculation:
As for the calculated volume: 15.73 Å³/atom. For the density, the calculation gives 4.56 g cm⁻³. The uncorrected formation energy comes out at 704 meV/atom. The total magnetization comes out at 0.000 μB/f.u. The calculation puts the energy above the most stable polymorph in this dataset at 1002 meV per atom.

This record from the Alexandria database describes an optimized crystal structure of BeAsBr2. The functional is PBE-GGA.

abc: 7.078 7.078 9.441
angles: 90.00 90.00 90.00
Atoms (fractional coordinates):
1 Be 0.000 0.000 0.000
2 Be 0.000 0.500 0.250
3 Be 0.500 0.000 0.750
4 Be 0.500 0.500 0.500
5 As 0.000 0.000 0.500
6 As 0.000 0.500 0.750
7 As 0.500 0.000 0.250
8 As 0.500 0.500 0.000
9 Br 0.100 0.250 0.125
10 Br 0.250 0.600 0.375
11 Br 0.250 0.900 0.875
12 Br 0.400 0.250 0.625
13 Br 0.600 0.750 0.625
14 Br 0.750 0.100 0.875
15 Br 0.750 0.400 0.375
16 Br 0.900 0.750 0.125

Values from the calculation:
As for the calculated volume: 29.56 Å³/atom. For the density, the calculation gives 3.42 g cm⁻³. The uncorrected formation energy comes out at 140 meV/atom. The total magnetization comes out at 3.000 μB/f.u. The calculation puts the energy above the most stable polymorph in this dataset at 376 meV per atom.

This record from the Alexandria database describes an optimized crystal structure of Be2AsBr. The functional is PBE-GGA.

abc: 3.221 3.221 6.567
angles: 90.00 90.00 90.00
Atoms (fractional coordinates):
1 Be 0.000 0.000 0.171
2 Be 0.000 0.000 0.829
3 As 0.500 0.500 0.000
4 Br 0.500 0.500 0.500

Values from the calculation:
As for the calculated volume: 17.03 Å³/atom. For the density, the calculation gives 4.21 g cm⁻³. The uncorrected formation energy comes out at 578 meV/atom. The total magnetization comes out at 0.000 μB/f.u. The calculation puts the energy above the most stable polymorph in this dataset at 875 meV per atom.